Below is crystalline TmZn2Cu at its relaxed geometry, with properties calculated at the PBE-GGA level.

Results
Total magnetic moment = 0.00 μB per cell
Calculated volume = 16.89 Å³ per atom
E_form = -221 meV per atom
Fermi-level density of states = 7.32 states/eV per cell
Calculated density = 8.932 Mg/m³
VASP energy = -3.000 eV/atom

Unit cell a=6.465 b=6.465 c=6.465 alpha=90.00 beta=90.00 gamma=90.00
Space group Fm-3m (No. 225)
Asymmetric unit:
Tm (0.000, 0.000, 0.000) [4 per cell]
Zn (0.250, 0.250, 0.250) [8 per cell]
Cu (0.000, 0.000, 0.500) [4 per cell]